# 1
Material: Ba2HoSeO6
Method: DFT, PBE-GGA
State: optimized geometry

Unit cell a=5.9906 b=5.9906 c=31.5911 alpha=90.00 beta=90.00 gamma=120.00
Space group R-3m (No. 166, hexagonal axes)
Symmetry-distinct sites (fractional):
Ba 0.0000 0.0000 0.1332 (multiplicity 6)
Ba 0.0000 0.0000 0.2986 (multiplicity 6)
Ho 0.0000 0.0000 0.4085 (multiplicity 6)
Se 0.0000 0.0000 0.0000 (multiplicity 3)
Se 0.0000 0.0000 0.5000 (multiplicity 3)
O 0.0098 0.5049 0.7048 (multiplicity 18)
O 0.0421 0.5211 0.1325 (multiplicity 18)

Output
- total moment (μB/cell) = 0.00
- energy relative to the elements, uncorrected (meV/atom) = -2229
- final energy (eV per cell) = -383.68



# 2
Material: TiFeH2
Method: DFT, PBE-GGA
State: optimized geometry

Unit cell a=3.9123 b=3.9123 c=8.4332 alpha=90.00 beta=90.00 gamma=90.00
Space group I-42d (No. 122)
Symmetry-distinct sites (fractional):
Ti 0.0000 0.0000 0.0000 (multiplicity 4)
Fe 0.0000 0.0000 0.5000 (multiplicity 4)
H 0.1984 0.2500 0.6250 (multiplicity 8)

Output
- total moment (μB/cell) = 0.00
- final energy (eV per cell) = -95.27



# 3
Material: V4PS2
Method: DFT, PBE-GGA
State: optimized geometry

Unit cell a=4.3526 b=4.3526 c=12.1503 alpha=90.00 beta=90.00 gamma=90.00
Space group I4/mmm (No. 139)
Symmetry-distinct sites (fractional):
V 0.0000 0.0000 0.1932 (multiplicity 4)
V 0.0000 0.5000 0.0000 (multiplicity 4)
P 0.0000 0.0000 0.0000 (multiplicity 2)
S 0.0000 0.0000 0.3814 (multiplicity 4)

Output
- total moment (μB/cell) = 8.34
- energy relative to the elements, uncorrected (meV/atom) = 28
- final energy (eV per cell) = -99.88



# 4
Material: La5Sm4Sc
Method: DFT, PBE-GGA
State: optimized geometry

Unit cell a=17.6010 b=3.6099 c=11.5427 alpha=90.00 beta=109.69 gamma=90.00
Space group C2/m (No. 12)
Symmetry-distinct sites (fractional):
La 0.0000 0.0000 0.0000 (multiplicity 2)
La 0.1905 0.5000 0.0847 (multiplicity 4)
La 0.2047 0.5000 0.6082 (multiplicity 4)
Sm 0.0811 0.5000 0.2983 (multiplicity 4)
Sm 0.1043 0.0000 0.7935 (multiplicity 4)
Sc 0.0000 0.0000 0.5000 (multiplicity 2)

Output
- total moment (μB/cell) = 0.00
- ΔH_f (0 K) (kJ/mol of formula units) = 53.1
- final energy (eV per cell) = -98.59



# 5
Material: V5Pd4Pt
Method: DFT, PBE-GGA
State: optimized geometry

Unit cell a=2.6959 b=2.6959 c=19.6031 alpha=90.00 beta=90.00 gamma=90.00
Space group P4/mmm (No. 123)
Symmetry-distinct sites (fractional):
V 0.0000 0.0000 0.0000 (multiplicity 1)
V 0.0000 0.0000 0.2000 (multiplicity 2)
V 0.0000 0.0000 0.4002 (multiplicity 2)
Pd 0.5000 0.5000 0.0999 (multiplicity 2)
Pd 0.5000 0.5000 0.3001 (multiplicity 2)
Pt 0.5000 0.5000 0.5000 (multiplicity 1)

Output
- total moment (μB/cell) = 0.00
- ΔH_f (0 K) (kJ/mol of formula units) = -257.4
- final energy (eV per cell) = -75.07



# 6
Material: Tb6Pr2Er3Mg
Method: DFT, PBE-GGA
State: optimized geometry

Unit cell a=6.1378 b=10.6401 c=11.7676 alpha=90.00 beta=100.09 gamma=90.00
Space group C2/m (No. 12)
Symmetry-distinct sites (fractional):
Tb 0.2474 0.0000 0.2458 (multiplicity 4)
Tb 0.2496 0.1655 0.7533 (multiplicity 8)
Pr 0.0000 0.3334 0.5000 (multiplicity 4)
Er 0.0000 0.1656 0.0000 (multiplicity 4)
Er 0.0000 0.5000 0.0000 (multiplicity 2)
Mg 0.0000 0.0000 0.5000 (multiplicity 2)

Output
- total moment (μB/cell) = 0.00
- ΔH_f (0 K) (kJ/mol of formula units) = 20.3
- final energy (eV per cell) = -104.83



# 7
Material: SbIr
Method: DFT, PBE-GGA
State: optimized geometry

Unit cell a=6.9636 b=3.0313 c=11.4646 alpha=90.00 beta=90.00 gamma=90.00
Space group Amm2 (No. 38)
Symmetry-distinct sites (fractional):
Sb 0.0000 0.0000 0.0000 (multiplicity 2)
Sb 0.2516 0.0000 0.2727 (multiplicity 4)
Ir 0.3029 0.0000 0.5770 (multiplicity 4)
Ir 0.5000 0.0000 0.9091 (multiplicity 2)

Output
- total moment (μB/cell) = 0.00
- energy relative to the elements, uncorrected (meV/atom) = 170
- final energy (eV per cell) = -75.86



# 8
Material: Nd3Er12Pu
Method: DFT, PBE-GGA
State: optimized geometry

Unit cell a=4.9754 b=4.9754 c=19.9470 alpha=90.00 beta=90.00 gamma=90.00
Space group P4/mmm (No. 123)
Symmetry-distinct sites (fractional):
Nd 0.0000 0.0000 0.0000 (multiplicity 1)
Nd 0.0000 0.0000 0.2543 (multiplicity 2)
Er 0.0000 0.5000 0.1272 (multiplicity 4)
Er 0.0000 0.5000 0.3822 (multiplicity 4)
Er 0.5000 0.5000 0.0000 (multiplicity 1)
Er 0.5000 0.5000 0.2529 (multiplicity 2)
Er 0.5000 0.5000 0.5000 (multiplicity 1)
Pu 0.0000 0.0000 0.5000 (multiplicity 1)

Output
- total moment (μB/cell) = 0.06
- ΔH_f (0 K) (kJ/mol of formula units) = 295.7
- final energy (eV per cell) = -80.33



Number 1: density 6.2 g cm⁻³. Number 2: density 5.4 g cm⁻³. Number 3: density 4.3 g cm⁻³. Number 4: density 6.4 g cm⁻³. Number 5: density 10.2 g cm⁻³. Number 6: density 7.7 g cm⁻³. Number 7: density 12.9 g cm⁻³. Number 8: density 9.0 g cm⁻³.